No. 1
This record from the Alexandria database describes crystalline ZrCoAu at its relaxed geometry. The functional is PBE. Values from VASP.

Geometry as Quantum ESPRESSO input:
```
&SYSTEM
  ibrav = 0, nat = 3, ntyp = 3
/
ATOMIC_SPECIES
Zr 91.22 Zr.upf
Au 196.97 Au.upf
Co 58.93 Co.upf
CELL_PARAMETERS angstrom
-1.0466 0.0361 -4.2192
-2.3071 -2.4049 2.7913
-1.9636 2.4736 0.5083
ATOMIC_POSITIONS crystal
Zr 0.3333 0.6667 0.6668
Au 0.0000 0.0000 0.1667
Co 0.6667 0.3333 0.1665
```

Values from the calculation:
formation enthalpy at 0 K	-160	meV per atom

***

No. 2
This record from the Alexandria database describes crystalline Ba3DyTl2O6 at its relaxed geometry. The functional is PBE. Values from VASP.

Geometry as Quantum ESPRESSO input:
```
&SYSTEM
  ibrav = 0, nat = 12, ntyp = 4
/
ATOMIC_SPECIES
Ba 137.33 Ba.upf
Dy 162.50 Dy.upf
O 16.00 O.upf
Tl 204.38 Tl.upf
CELL_PARAMETERS angstrom
6.3091 0.0000 0.0000
-3.1546 5.4639 0.0000
0.0000 0.0000 7.1096
ATOMIC_POSITIONS crystal
Ba 0.6667 0.3333 0.3891
Ba 0.3333 0.6667 0.6109
Ba 0.0000 0.0000 0.0000
Dy 0.0000 0.0000 0.5000
O 0.3312 0.1656 0.6870
O 0.8344 0.1656 0.6870
O 0.6688 0.8344 0.3130
O 0.1656 0.8344 0.3130
O 0.1656 0.3312 0.3130
O 0.8344 0.6688 0.6870
Tl 0.3333 0.6667 0.1264
Tl 0.6667 0.3333 0.8736
```

Values from the calculation:
raw formation energy	-2.124	eV per atom

***

No. 3
This record from the Alexandria database describes crystalline HfMn3Tl at its relaxed geometry. The functional is PBE. Values from VASP.

Geometry as Quantum ESPRESSO input:
```
&SYSTEM
  ibrav = 0, nat = 5, ntyp = 3
/
ATOMIC_SPECIES
Tl 204.38 Tl.upf
Mn 54.94 Mn.upf
Hf 178.49 Hf.upf
CELL_PARAMETERS angstrom
4.9154 0.0000 0.0000
0.0000 4.9154 0.0000
0.0000 0.0000 4.9154
ATOMIC_POSITIONS crystal
Tl 0.0000 0.0000 0.0000
Mn 0.0000 0.5000 0.0000
Mn 0.5000 0.0000 0.0000
Mn 0.0000 0.0000 0.5000
Hf 0.5000 0.5000 0.5000
```

Values from the calculation:
energy relative to the lowest polymorph listed for this composition	0.168	eV per atom
formation enthalpy at 0 K	1437	meV per atom

***

No. 4
This record from the Alexandria database describes crystalline PrCu6Au6 at its relaxed geometry. The functional is PBE. Values from VASP.

Geometry as Quantum ESPRESSO input:
```
&SYSTEM
  ibrav = 0, nat = 13, ntyp = 3
/
ATOMIC_SPECIES
Pr 140.91 Pr.upf
Cu 63.55 Cu.upf
Au 196.97 Au.upf
CELL_PARAMETERS angstrom
-0.5591 -4.7449 2.0911
4.8003 -1.3162 4.8005
-4.1263 0.0654 5.5488
ATOMIC_POSITIONS crystal
Pr 0.0000 0.0000 0.0000
Cu 0.5000 0.5000 0.0000
Cu 0.5000 0.2349 0.7651
Cu 0.5000 0.0000 0.5000
Cu 0.0000 0.5000 0.0000
Cu 0.5000 0.7651 0.2349
Cu 0.0000 0.0000 0.5000
Au 0.3446 0.6554 0.6554
Au 0.0000 0.3386 0.6614
Au 0.6928 0.8072 0.8072
Au 0.0000 0.6614 0.3386
Au 0.3072 0.1928 0.1928
Au 0.6554 0.3446 0.3446
```

Values from the calculation:
formation enthalpy at 0 K	-232	meV per atom

***

No. 5
This record from the Alexandria database describes crystalline GdDyIn at its relaxed geometry. The functional is PBE. Values from VASP.

Geometry as Quantum ESPRESSO input:
```
&SYSTEM
  ibrav = 0, nat = 3, ntyp = 3
/
ATOMIC_SPECIES
Dy 162.50 Dy.upf
Gd 157.25 Gd.upf
In 114.82 In.upf
CELL_PARAMETERS angstrom
3.6786 0.0000 0.0000
0.0000 3.6786 0.0000
-1.8393 -1.8393 6.4590
ATOMIC_POSITIONS crystal
Dy 0.2952 0.2952 0.5903
Gd 0.6068 0.6068 0.2137
In 0.9480 0.9480 0.8960
```

Values from the calculation:
energy relative to the lowest polymorph listed for this composition	0.000	eV per atom
formation enthalpy at 0 K	-315	meV per atom

***

No. 6
This record from the Alexandria database describes crystalline NaTlGaF6 at its relaxed geometry. The functional is PBE. Values from VASP.

Geometry as Quantum ESPRESSO input:
```
&SYSTEM
  ibrav = 0, nat = 18, ntyp = 4
/
ATOMIC_SPECIES
F 19.00 F.upf
Ga 69.72 Ga.upf
Na 22.99 Na.upf
Tl 204.38 Tl.upf
CELL_PARAMETERS angstrom
-0.1420 0.5920 -5.7970
0.5844 -5.2905 2.3759
-9.1357 -0.9523 0.1265
ATOMIC_POSITIONS crystal
F 0.6758 0.0629 0.3681
F 0.6758 0.6129 0.1319
F 0.6129 0.9371 0.8681
F 0.6129 0.6758 0.6319
F 0.9371 0.6129 0.3681
F 0.3871 0.3242 0.3681
F 0.9371 0.3242 0.1319
F 0.0629 0.3871 0.6319
F 0.0629 0.6758 0.8681
F 0.3871 0.0629 0.1319
F 0.3242 0.3871 0.8681
F 0.3242 0.9371 0.6319
Ga 0.6667 0.3333 0.2500
Ga 0.3333 0.6667 0.7500
Na 0.0000 0.0000 0.0000
Na 0.0000 0.0000 0.5000
Tl 0.6667 0.3333 0.7500
Tl 0.3333 0.6667 0.2500
```

Values from the calculation:
raw formation energy	-2.347	eV per atom

***

No. 7
This record from the Alexandria database describes crystalline EuMg2Ge at its relaxed geometry. The functional is PBE. Values from VASP.

Geometry as Quantum ESPRESSO input:
```
&SYSTEM
  ibrav = 0, nat = 4, ntyp = 3
/
ATOMIC_SPECIES
Mg 24.30 Mg.upf
Eu 151.96 Eu.upf
Ge 72.64 Ge.upf
CELL_PARAMETERS angstrom
3.2836 0.0000 0.0000
1.6418 2.8437 0.0000
1.6418 0.9479 10.9684
ATOMIC_POSITIONS crystal
Mg 0.9003 0.9003 0.2992
Mg 0.0997 0.0997 0.7008
Eu 0.0000 0.0000 0.0000
Ge 0.5000 0.5000 0.5000
```

Values from the calculation:
formation enthalpy at 0 K	163	meV per atom

***

No. 8
This record from the Alexandria database describes crystalline MnBiSe2 at its relaxed geometry. The functional is PBE. Values from VASP.

Geometry as Quantum ESPRESSO input:
```
&SYSTEM
  ibrav = 0, nat = 4, ntyp = 3
/
ATOMIC_SPECIES
Bi 208.98 Bi.upf
Se 78.96 Se.upf
Mn 54.94 Mn.upf
CELL_PARAMETERS angstrom
2.8278 0.9827 8.4825
4.9785 3.3296 6.7114
1.6233 4.3335 7.7137
ATOMIC_POSITIONS crystal
Bi 0.0000 0.0000 0.0000
Se 0.1126 0.1126 0.1126
Se 0.8874 0.8874 0.8874
Mn 0.5000 0.5000 0.5000
```

Values from the calculation:
raw formation energy	-0.327	eV per atom

***

No. 9
This record from the Alexandria database describes crystalline YTh3In12 at its relaxed geometry. The functional is PBE. Values from VASP.

Geometry as Quantum ESPRESSO input:
```
&SYSTEM
  ibrav = 0, nat = 16, ntyp = 3
/
ATOMIC_SPECIES
In 114.82 In.upf
Th 232.04 Th.upf
Y 88.91 Y.upf
CELL_PARAMETERS angstrom
-2.1489 -3.4220 2.4503
1.7975 -3.2339 -2.9400
15.1185 -1.6085 11.0127
ATOMIC_POSITIONS crystal
In 0.5000 0.5000 0.5000
In 0.5000 0.0000 0.3736
In 0.5000 0.0000 0.1208
In 0.0000 0.5000 0.8792
In 0.5000 0.5000 0.7521
In 0.0000 0.5000 0.6264
In 0.5000 0.0000 0.6264
In 0.5000 0.0000 0.8792
In 0.0000 0.5000 0.3736
In 0.0000 0.5000 0.1208
In 0.5000 0.5000 0.0000
In 0.5000 0.5000 0.2479
Th 0.0000 0.0000 0.2471
Th 0.0000 0.0000 0.5000
Th 0.0000 0.0000 0.7529
Y 0.0000 0.0000 0.0000
```

Values from the calculation:
formation enthalpy at 0 K	-368	meV per atom

***

No. 10
This record from the Alexandria database describes crystalline Ac3Tl3Pb at its relaxed geometry. The functional is PBE. Values from VASP.

Geometry as Quantum ESPRESSO input:
```
&SYSTEM
  ibrav = 0, nat = 14, ntyp = 3
/
ATOMIC_SPECIES
Pb 207.20 Pb.upf
Tl 204.38 Tl.upf
Ac 227.00 Ac.upf
CELL_PARAMETERS angstrom
5.4394 0.0000 0.0000
0.0000 10.1930 0.0000
0.0000 -5.0965 8.8274
ATOMIC_POSITIONS crystal
Pb 0.7500 0.3333 0.6667
Pb 0.2500 0.6667 0.3333
Tl 0.2500 0.9563 0.1721
Tl 0.7500 0.7843 0.9563
Tl 0.2500 0.8279 0.7843
Tl 0.2500 0.2157 0.0437
Tl 0.7500 0.1721 0.2157
Tl 0.7500 0.0437 0.8279
Ac 0.7500 0.6608 0.5646
Ac 0.7500 0.4354 0.0962
Ac 0.2500 0.5646 0.9038
Ac 0.2500 0.0962 0.6608
Ac 0.7500 0.9038 0.3392
Ac 0.2500 0.3392 0.4354
```

Values from the calculation:
energy relative to the lowest polymorph listed for this composition	0.047	eV per atom
formation enthalpy at 0 K	-315	meV per atom

***

Taking the records one at a time from the top gives total energy values of -19.4 -70.3 -32.6 -52.0 -22.4 -39.1 -17.4 -21.3 -67.5 -25.3 eV per formula unit.
Taking the records one at a time from the top gives magnetization values of 1.2 0.0 10.2 0.0 7.9 0.7 7.7 3.8 0.0 0.0 μB/cell.